Density functional theory data (GGA-PBE) for crystalline Pr5TmTe8 at its relaxed geometry.

abc: 9.5084 9.5084 9.6253
angles: 90.00 90.00 90.00
Closest atoms and distances in Å follow each position.
Space group I-4 (No. 82)
Inequivalent atoms, fractional coordinates:
Pr: 0.0000 0.0000 0.0000 [2 per cell]  8 Te 3.22-3.42
Pr: 0.1187 0.7495 0.6241 [8 per cell]  8 Te 3.22-3.44
Tm: 0.0000 0.5000 0.2500 [2 per cell]  8 Te 3.11-3.39
Te: 0.0718 0.8157 0.2972 [8 per cell]  1 Tm 3.11, 5 Pr 3.22-3.44
Te: 0.0763 0.6741 0.9520 [8 per cell]  5 Pr 3.22-3.42, 1 Tm 3.39, 1 Te 3.59

Properties
Energy relative to the elements, uncorrected   -19.62 eV/f.u.

***

Density functional theory data (GGA-PBE) for crystalline ErTmTc at its relaxed geometry.

abc: 3.4418 3.4418 12.1592
angles: 90.00 90.00 90.00
Closest atoms and distances in Å follow each position.
Space group I4mm (No. 107)
Inequivalent atoms, fractional coordinates:
Er: 0.0000 0.0000 0.0000 [2 per cell]  4 Tc 2.92, 1 Tm 3.20
Tm: 0.0000 0.0000 0.7371 [2 per cell]  4 Tc 2.91, 1 Er 3.20
Tc: 0.0000 0.0000 0.3677 [2 per cell]  4 Tm 2.91, 4 Er 2.92

Properties
E above lowest polymorph   0.0000 eV/atom
Calculated formation energy   -99 meV per atom

***

Density functional theory data (GGA-PBE) for crystalline CdPPb at its relaxed geometry.

abc: 4.1195 4.1195 5.2290
angles: 90.00 90.00 120.00
Closest atoms and distances in Å follow each position.
Space group P3m1 (No. 156)
Inequivalent atoms, fractional coordinates:
Cd: 0.0000 0.0000 0.0000 [1 per cell]  3 P 2.70
P: 0.6667 0.3333 0.7562 [1 per cell]  3 Cd 2.70, 3 Pb 2.88
Pb: 0.3333 0.6667 0.4445 [1 per cell]  3 P 2.88

Properties
E above lowest polymorph   0.0000 eV/atom
Calculated formation energy   81 meV per atom

***

Density functional theory data (GGA-PBE) for crystalline TlAs2PdBr at its relaxed geometry.

abc: 4.7081 4.7081 7.5908
angles: 90.00 90.00 90.00
Closest atoms and distances in Å follow each position.
Space group P4/mmm (No. 123)
Inequivalent atoms, fractional coordinates:
Tl: 0.0000 0.0000 0.0000 [1 per cell]  4 Br 3.33
As: 0.0000 0.5000 0.5000 [2 per cell]  2 Pd 2.35
Pd: 0.5000 0.5000 0.5000 [1 per cell]  4 As 2.35
Br: 0.5000 0.5000 0.0000 [1 per cell]  4 Tl 3.33

Properties
E above lowest polymorph   0.0000 eV/atom
Energy relative to the elements, uncorrected   0.71 eV/f.u.

***

Density functional theory data (GGA-PBE) for crystalline Ho4CoHg3 at its relaxed geometry.

abc: 3.5304 3.5304 15.1967
angles: 90.00 90.00 90.00
Closest atoms and distances in Å follow each position.
Space group P4/mmm (No. 123)
Inequivalent atoms, fractional coordinates:
Ho: 0.0000 0.0000 0.1051 [2 per cell]  4 Co 2.96, 1 Ho 3.19, 4 Hg 3.24
Ho: 0.0000 0.0000 0.3699 [2 per cell]  8 Hg 3.18, 4 Ho 3.53
Co: 0.5000 0.5000 0.0000 [1 per cell]  8 Ho 2.96
Hg: 0.5000 0.5000 0.2405 [2 per cell]  8 Ho 3.18-3.24, 4 Hg 3.53
Hg: 0.5000 0.5000 0.5000 [1 per cell]  8 Ho 3.18, 4 Hg 3.53

Properties
Calculated formation energy   -393 meV per atom

***

Density functional theory data (GGA-PBE) for crystalline SrNi9P5 at its relaxed geometry.

abc: 6.5125 6.5125 10.8062
angles: 90.00 90.00 120.00
Closest atoms and distances in Å follow each position.
Space group P6_3/mmc (No. 194)
Inequivalent atoms, fractional coordinates:
Sr: 0.0000 0.0000 0.0000 [2 per cell]  6 P 3.34, 18 Ni 3.48-3.54
Ni: 0.0717 0.5359 0.1073 [12 per cell]  4 P 2.26-2.35, 3 Ni 2.46-2.53
Ni: 0.2025 0.4049 0.7500 [6 per cell]  2 P 2.14
P: 0.1744 0.3488 0.2500 [6 per cell]  6 Ni 2.14-2.26
P: 0.3333 0.6667 0.5617 [4 per cell]  9 Ni 2.34-2.51

Properties
Calculated formation energy   -658 meV per atom

***

Density functional theory data (GGA-PBE) for crystalline Dy8Te2Rh3 at its relaxed geometry.

abc: 8.9695 4.8270 8.9774
angles: 90.00 114.43 90.00
Closest atoms and distances in Å follow each position.
Space group P2/m (No. 10)
Inequivalent atoms, fractional coordinates:
Dy: 0.1074 0.0000 0.3923 [2 per cell]  2 Rh 2.95, 2 Te 3.18, 1 Dy 3.25
Dy: 0.1427 0.5000 0.8634 [2 per cell]  3 Rh 2.92-2.93, 2 Te 3.19-3.25
Dy: 0.3627 0.5000 0.6428 [2 per cell]  3 Rh 2.92-2.93, 2 Te 3.19-3.25
Dy: 0.3873 0.0000 0.1128 [2 per cell]  4 Rh 2.94-2.95, 2 Te 3.23
Te: 0.2449 0.5000 0.2556 [2 per cell]  8 Dy 3.18-3.25
Rh: 0.2534 0.0000 0.7536 [2 per cell]  8 Dy 2.93-2.95
Rh: 0.5000 0.5000 0.0000 [1 per cell]  8 Dy 2.92-2.95

Properties
Energy relative to the elements, uncorrected   -9.33 eV/f.u.

***

Density functional theory data (GGA-PBE) for crystalline Ba2SrIr at its relaxed geometry.

abc: 3.8858 5.4059 16.3252
angles: 90.00 90.00 90.00
Closest atoms and distances in Å follow each position.
Space group Immm (No. 71)
Inequivalent atoms, fractional coordinates:
Ba: 0.0000 0.0000 0.1504 [4 per cell]  2 Ir 3.13
Sr: 0.0000 0.5000 0.0000 [2 per cell]  4 Ir 3.33, 4 Ba 3.65
Ir: 0.0000 0.5000 0.5000 [2 per cell]  4 Ba 3.13, 4 Sr 3.33

Properties
E above lowest polymorph   0.1664 eV/atom
Calculated formation energy   -5 meV per atom

***

Density functional theory data (GGA-PBE) for crystalline TePPt2 at its relaxed geometry.

abc: 3.1021 3.2705 6.9847
angles: 90.00 90.00 90.00
Closest atoms and distances in Å follow each position.
Space group Pmmm (No. 47)
Inequivalent atoms, fractional coordinates:
Te: 0.0000 0.0000 0.0000 [1 per cell]  8 Pt 3.06, 4 Te 3.10-3.27
P: 0.0000 0.0000 0.5000 [1 per cell]  8 Pt 2.66
Pt: 0.5000 0.5000 0.2970 [2 per cell]  4 P 2.66, 1 Pt 2.84

Properties
E above lowest polymorph   0.4047 eV/atom
Energy relative to the elements, uncorrected   0.40 eV/f.u.

***

Density functional theory data (GGA-PBE) for crystalline ErZnHgPt at its relaxed geometry.

abc: 6.7962 6.7962 6.7962
angles: 90.00 90.00 90.00
Closest atoms and distances in Å follow each position.
Space group F-43m (No. 216)
Inequivalent atoms, fractional coordinates:
Er: 0.0000 0.0000 0.0000 [4 per cell]  4 Hg 2.94, 4 Pt 2.94
Zn: 0.0000 0.0000 0.5000 [4 per cell]  4 Pt 2.94, 4 Hg 2.94
Hg: 0.2500 0.2500 0.2500 [4 per cell]  4 Er 2.94, 4 Zn 2.94
Pt: 0.2500 0.2500 0.7500 [4 per cell]  4 Er 2.94, 4 Zn 2.94

Properties
Calculated formation energy   -565 meV per atom

***

Density functional theory data (GGA-PBE) for crystalline ZrPd2Pb at its relaxed geometry.

abc: 4.4709 4.4709 3.8836
angles: 90.00 90.00 90.00
Closest atoms and distances in Å follow each position.
Space group P4/mmm (No. 123)
Inequivalent atoms, fractional coordinates:
Zr: 0.0000 0.0000 0.0000 [1 per cell]  8 Pd 2.96, 4 Pb 3.16
Pd: 0.0000 0.5000 0.5000 [2 per cell]  4 Zr 2.96, 4 Pb 2.96, 4 Pd 3.16
Pb: 0.5000 0.5000 0.0000 [1 per cell]  8 Pd 2.96, 4 Zr 3.16

Properties
Calculated formation energy   -363 meV per atom

***

Density functional theory data (GGA-PBE) for crystalline SrY2ZnRu at its relaxed geometry.

abc: 5.2997 5.2997 5.2233
angles: 90.00 90.00 90.00
Closest atoms and distances in Å follow each position.
Space group P4/mmm (No. 123)
Inequivalent atoms, fractional coordinates:
Sr: 0.0000 0.0000 0.0000 [1 per cell]  8 Y 3.72, 4 Zn 3.75
Y: 0.0000 0.5000 0.5000 [2 per cell]  2 Ru 2.65
Zn: 0.5000 0.5000 0.0000 [1 per cell]  2 Ru 2.61
Ru: 0.5000 0.5000 0.5000 [1 per cell]  2 Zn 2.61, 4 Y 2.65

Properties
Calculated formation energy   -61 meV per atom

***

| no. | total magnetic moment (μB per formula unit) |
| --- | --- |
| 1 | 0.00 |
| 2 | 0.00 |
| 3 | 0.00 |
| 4 | 0.00 |
| 5 | 0.61 |
| 6 | 0.00 |
| 7 | 0.00 |
| 8 | 0.00 |
| 9 | 0.00 |
| 10 | 0.00 |
| 11 | 0.00 |
| 12 | 0.00 |